## SnGe3Br8 (PBE-GGA)

Data for a relaxed structure of SnGe3Br8.

Cell lengths 8.295, 8.293, 8.651 Å; angles 119.42, 90.00, 120.01 degrees
Positions (direct):
Br 0.747 0.493 0.771
Br 0.253 0.507 0.229
Br 0.253 0.982 0.230
Br 0.271 0.018 0.770
Br 0.747 0.018 0.770
Br 0.729 0.982 0.230
Br 0.742 0.485 0.222
Br 0.258 0.515 0.778
Ge 0.000 0.500 0.000
Ge 0.500 0.000 0.000
Ge 0.500 0.500 0.000
Sn 0.000 0.000 0.000

The calculation puts the total magnetization at 0.00 Bohr magnetons per cell. The value obtained for the raw formation energy is -0.602 eV per atom. For the electronic total energy, the calculation gives -3.21 eV/atom.

***

## Sn3Ge5Br16 (PBE-GGA)

Data for a relaxed structure of Sn3Ge5Br16.

Cell lengths 8.689, 8.689, 13.413 Å; angles 89.62, 89.62, 57.71 degrees
Positions (direct):
Sn 0.668 0.166 0.291
Sn 0.823 0.823 0.791
Sn 0.166 0.668 0.291
Br 0.841 0.841 0.415
Br 0.651 0.171 0.910
Br 0.343 0.814 0.412
Br 0.481 0.481 0.134
Br 0.515 0.515 0.648
Br 0.476 0.019 0.167
Br 0.021 0.021 0.666
Br 0.340 0.340 0.411
Br 0.171 0.651 0.910
Br 0.019 0.476 0.167
Br 0.482 0.982 0.665
Br 0.672 0.672 0.906
Br 0.028 0.028 0.165
Br 0.159 0.159 0.895
Br 0.982 0.482 0.665
Br 0.814 0.343 0.412
Ge 0.328 0.857 0.779
Ge 0.344 0.344 0.014
Ge 0.857 0.328 0.779
Ge 0.643 0.643 0.520
Ge 0.175 0.175 0.272

The calculation puts the total magnetization at 0.00 Bohr magnetons per cell. The value obtained for the raw formation energy is -0.624 eV per atom. For the electronic total energy, the calculation gives -3.20 eV/atom.

***

## SnGeBr5 (PBE-GGA)

Data for a relaxed structure of SnGeBr5.

Cell lengths 5.863, 9.487, 7.593 Å; angles 128.66, 112.71, 90.00 degrees
Positions (direct):
Sn 0.167 0.000 0.000
Br 0.490 0.197 0.000
Br 0.730 0.759 0.519
Br 0.926 0.500 0.000
Br 0.211 0.241 0.481
Br 0.490 0.803 0.000
Ge 0.517 0.500 0.000

The calculation puts the total magnetization at 0.00 Bohr magnetons per cell. The value obtained for the raw formation energy is -0.537 eV per atom. For the electronic total energy, the calculation gives -2.96 eV/atom.

***

## Sn2GeBr2 (PBE-GGA)

Data for a relaxed structure of Sn2GeBr2.

Cell lengths 4.117, 4.117, 9.503 Å; angles 77.49, 77.49, 90.00 degrees
Positions (direct):
Ge 0.000 0.000 0.000
Sn 0.750 0.250 0.500
Sn 0.250 0.750 0.500
Br 0.408 0.408 0.185
Br 0.592 0.592 0.815

The calculation puts the total magnetization at 0.00 Bohr magnetons per cell. The value obtained for the raw formation energy is 0.172 eV per atom. For the electronic total energy, the calculation gives -3.02 eV/atom. For the energy above the most stable polymorph in this dataset, the calculation gives 42.8 meV per atom.

***

## Sn5GeBr12 (PBE-GGA)

Data for a relaxed structure of Sn5GeBr12.

Cell lengths 7.491, 7.506, 14.128 Å; angles 89.99, 89.97, 60.07 degrees
Positions (direct):
Sn 0.833 0.333 0.500
Sn 0.667 0.667 0.000
Sn 0.333 0.333 0.000
Sn 0.500 0.000 0.500
Sn 0.167 0.667 0.500
Ge 0.000 0.000 0.000
Br 0.684 0.000 0.886
Br 0.834 0.000 0.380
Br 0.000 0.684 0.114
Br 0.000 0.316 0.886
Br 0.684 0.316 0.114
Br 0.500 0.667 0.380
Br 0.166 0.000 0.620
Br 0.167 0.333 0.380
Br 0.316 0.684 0.886
Br 0.500 0.333 0.620
Br 0.833 0.667 0.620
Br 0.316 0.000 0.114

The calculation puts the total magnetization at 0.00 Bohr magnetons per cell. The value obtained for the raw formation energy is -0.721 eV per atom. For the electronic total energy, the calculation gives -3.20 eV/atom.

***

## Sn2GeBr2 (PBE-GGA)

Data for a relaxed structure of Sn2GeBr2.

Cell lengths 9.259, 9.259, 3.398 Å; angles 90.00, 90.00, 90.00 degrees
Positions (direct):
Br 0.378 0.878 0.000
Br 0.878 0.622 0.000
Br 0.622 0.122 0.000
Br 0.122 0.378 0.000
Sn 0.201 0.701 0.500
Sn 0.799 0.299 0.500
Sn 0.701 0.799 0.500
Sn 0.299 0.201 0.500
Ge 0.500 0.500 0.000
Ge 0.000 0.000 0.000

The calculation puts the total magnetization at 0.00 Bohr magnetons per cell. The value obtained for the raw formation energy is 0.129 eV per atom. For the electronic total energy, the calculation gives -3.06 eV/atom. For the energy above the most stable polymorph in this dataset, the calculation gives 0.0 meV per atom.